# Li2TcAs

A geometry-optimized Li2TcAs structure (PBE, Alexandria via LeMat-Bulk).

Cell: 9.173 9.173 9.173 Å, 17.46 17.46 17.46°
Fractional positions:
Li 0.003 0.003 0.003
Li 0.497 0.497 0.497
Tc 0.250 0.250 0.250
As 0.750 0.750 0.750

Calculated values
calculated formation energy: 149 meV/atom
DOS(E_F): 2.7 states/eV per cell